Record 1
VASP calculation (PBE-GGA) on MgSb2Os after structural relaxation.

The structure in POSCAR format:
```
MgSb2Os
1.0
6.2669 0.0000 0.0000
0.0000 6.2669 0.0000
3.1335 3.1335 6.2373
Sb Os Mg
4 2 2
Direct
0.0779 0.6250 0.2500
0.6721 0.1250 0.2500
0.3750 0.3279 0.7500
0.8750 0.9221 0.7500
0.7500 0.2500 0.5000
0.0000 0.0000 0.0000
0.5000 0.5000 0.0000
0.2500 0.7500 0.5000
```

As for the formation energy (no corrections): 0.419 eV per atom. Its symmetry is No. 122. The calculation puts the total energy at -38.78 eV for the cell shown. Its density of states at the Fermi level is 2.463 states/eV/f.u. The value obtained for the calculated density is 6210 kg/m3.

---

Record 2
VASP calculation (PBE-GGA) on MgSb2Os after structural relaxation.

The structure in POSCAR format:
```
MgSb2Os
1.0
-1.1882 4.6445 1.1539
-3.5886 -0.3686 -2.2117
-3.9920 -1.6916 2.6979
Sb Mg Os
2 1 1
Direct
0.0000 0.5786 0.9674
0.5000 0.3533 0.4194
0.0000 0.8758 0.3729
0.5000 0.6923 0.7402
```

As for the formation energy (no corrections): 0.240 eV per atom. Its symmetry is No. 6. The calculation puts the total energy at -20.11 eV for the cell shown. Its density of states at the Fermi level is 2.693 states/eV/f.u. The value obtained for the calculated density is 7849 kg/m3.

---

Record 3
VASP calculation (PBE-GGA) on MgSb2Os after structural relaxation.

The structure in POSCAR format:
```
MgSb2Os
1.0
3.0838 -0.0266 0.0000
-1.3206 2.7869 0.0000
0.0000 0.0000 10.4047
Sb Mg Os
2 1 1
Direct
0.5000 0.5000 0.2843
0.0000 0.0000 0.9417
0.0000 0.0000 0.5348
0.5000 0.5000 0.7391
```

As for the formation energy (no corrections): 0.388 eV per atom. Its symmetry is No. 35. The calculation puts the total energy at -19.52 eV for the cell shown. Its density of states at the Fermi level is 2.658 states/eV/f.u. The value obtained for the calculated density is 8541 kg/m3.

---

Record 4
VASP calculation (PBE-GGA) on MgSb2Os after structural relaxation.

The structure in POSCAR format:
```
MgSb2Os
1.0
4.8416 0.0000 0.0000
2.4208 4.1930 0.0000
2.4208 1.3977 3.9532
Sb Os Mg
2 1 1
Direct
0.0000 0.0000 0.0000
0.2500 0.2500 0.2500
0.7500 0.7500 0.7500
0.5000 0.5000 0.5000
```

As for the formation energy (no corrections): 0.544 eV per atom. Its symmetry is No. 216. The calculation puts the total energy at -18.89 eV for the cell shown. Its density of states at the Fermi level is 1.025 states/eV/f.u. The value obtained for the calculated density is 9478 kg/m3.